Material: Co2NiAg
Method: DFT, PBEsol
State: relaxed

The space group is P4mm (No. 99) and the conventional cell measures 2.5927, 2.5927 and 7.1119 Å, with angles of 90.00, 90.00 and 90.00 degrees. The inequivalent atoms are Co at (0.0000, 0.0000, 0.0000), Co at (0.5000, 0.5000, 0.2140), Ni at (0.0000, 0.0000, 0.4390) and Ag at (0.5000, 0.5000, 0.7166).

Its volume is 47.8 Å³/cell. As for the formation enthalpy at 0 K: 199.4 meV per atom. The value obtained for the energy above the most stable polymorph in this dataset is 0 meV per atom.